(1)
Density functional theory data (PBE-GGA) for crystalline Tb8Se3S4N at its relaxed geometry.

a b c (Å): 7.945 7.871 7.944
angles (deg): 120.31 120.00 90.00
Element x y z (fractional)
Tb: 0.227 0.737 0.011
Tb: 0.773 0.263 0.546
Tb: 0.784 0.737 0.011
Tb: 0.227 0.737 0.454
Tb: 0.757 0.771 0.514
Tb: 0.243 0.229 0.486
Tb: 0.773 0.263 0.989
Tb: 0.216 0.263 0.989
S: 0.000 0.000 0.500
S: 0.500 0.000 0.000
S: 0.500 0.000 0.500
S: 0.000 0.000 0.000
Se: 0.000 0.500 0.500
Se: 0.500 0.500 0.500
Se: 0.500 0.500 0.000
N: 0.000 0.500 0.000

Results
total DFT energy (no corrections)	-101.8	eV for the cell shown
total magnetization	0.000	μB per atom
E_form (uncorrected)	-1.843	eV/atom
crystal system	trigonal

***

(2)
Density functional theory data (PBE-GGA) for crystalline Li2DyTl at its relaxed geometry.

a b c (Å): 3.699 3.699 6.689
angles (deg): 90.00 90.00 90.00
Element x y z (fractional)
Dy: 0.500 0.500 0.500
Li: 0.000 0.000 0.789
Li: 0.000 0.000 0.211
Tl: 0.500 0.500 0.000

Results
total DFT energy (no corrections)	-11.1	eV for the cell shown
total magnetization	0.000	μB per atom
crystal system	tetragonal
polymorph energy (0 for the lowest one)	152.4	meV per atom

***

(3)
Density functional theory data (PBE-GGA) for crystalline CsGaBr4 at its relaxed geometry.

a b c (Å): 8.812 8.812 6.999
angles (deg): 129.01 129.01 90.00
Element x y z (fractional)
Cs: 0.750 0.250 0.500
Ga: 0.500 0.500 0.000
Br: 0.512 0.818 0.412
Br: 0.406 0.488 0.588
Br: 0.900 0.594 0.412
Br: 0.182 0.100 0.588

Results
total DFT energy (no corrections)	-18.0	eV for the cell shown
total magnetization	0.000	μB per atom
E_form (uncorrected)	-1.236	eV/atom
crystal system	tetragonal
polymorph energy (0 for the lowest one)	4.0	meV per atom

***

(4)
Density functional theory data (PBE-GGA) for crystalline Rb2BaInI6 at its relaxed geometry.

a b c (Å): 9.155 9.155 9.151
angles (deg): 59.98 59.98 90.00
Element x y z (fractional)
I: 0.740 0.740 0.000
I: 0.740 0.260 0.000
I: 0.260 0.260 0.479
I: 0.260 0.740 0.000
I: 0.740 0.740 0.521
I: 0.260 0.260 0.000
In: 0.500 0.500 0.000
Ba: 0.000 0.000 0.000
Rb: 0.750 0.250 0.500
Rb: 0.250 0.750 0.500

Results
total DFT energy (no corrections)	-27.5	eV for the cell shown
total magnetization	0.000	μB per atom
E_form (uncorrected)	-1.163	eV/atom
crystal system	tetragonal